Below is a geometry-optimized RuRh2W structure, with properties calculated at the GGA-PBE level.

Its density of states at the Fermi level is 1.280 states/eV/atom. As for the distance to the lowest polymorph of the same formula: 151 meV per atom. The magnetic moment is 0.00 μB per cell.

It has space group C2/m (No. 12), with a = 9.116 Å, b = 2.742 Å, c = 4.733 Å, α = 90.00°, β = 100.13° and γ = 90.00°. The asymmetric unit holds Ru at (0.000, 0.000, 0.000), Rh at (0.250, 0.000, 0.752) and W at (0.000, 0.500, 0.500).